Dy3B7W | Alexandria via LeMat-Bulk | SCAN | single point on PBEsol structure; DOS(E_F) = 0.16 states/eV per atom; total magnetic moment = 0.00 μB per cell; calculated density = 9675 kg/m3; electronic total energy = -24.73 eV per atom; DFT formation energy = -674 kJ/mol of formula units; SG = Cmcm
1.0
1.715 -7.933 0.000
1.715 7.933 0.000
0.000 0.000 9.421
Dy B W
6 14 2
direct
0.107 0.893 0.560
0.107 0.893 0.940
0.244 0.756 0.250
0.756 0.244 0.750
0.893 0.107 0.060
0.893 0.107 0.440
0.272 0.728 0.532
0.272 0.728 0.968
0.365 0.635 0.647
0.365 0.635 0.853
0.455 0.545 0.250
0.480 0.520 0.592
0.480 0.520 0.908
0.520 0.480 0.092
0.520 0.480 0.408
0.545 0.455 0.750
0.635 0.365 0.147
0.635 0.365 0.353
0.728 0.272 0.032
0.728 0.272 0.468
0.053 0.947 0.250
0.947 0.053 0.750